(1)
A relaxed Er5BiPd2 crystal, computed with PBE-GGA.

Total moment (μB per formula unit): 0.0
N(E_F) (states/eV/f.u.): 6.4
Energy of formation (eV per atom): -0.704

a b c (Å): 8.761 8.761 8.761
angles (deg): 127.43 127.43 77.56
Fractional coordinates of all 16 atoms:
Er 0.486 0.986 0.191
Er 0.514 0.014 0.809
Er 0.295 0.486 0.500
Pd 0.362 0.138 0.500
Er 0.705 0.514 0.500
Er 0.986 0.795 0.500
Er 0.205 0.705 0.191
Pd 0.638 0.862 0.500
Bi 0.250 0.250 0.000
Er 0.500 0.500 0.000
Bi 0.750 0.750 0.000
Pd 0.862 0.362 0.225
Er 0.795 0.295 0.809
Pd 0.138 0.638 0.775
Er 0.014 0.205 0.500
Er 0.000 0.000 0.000



(2)
A relaxed TlSi2As crystal, computed with PBE-GGA.

Energy above the most stable polymorph in this dataset (meV per atom): 122
Total moment (μB per formula unit): 0.0
N(E_F) (states/eV/f.u.): 1.6
E_form (uncorrected) (eV per atom): 0.37

a b c (Å): 7.459 7.459 7.459
angles (deg): 28.92 28.92 28.92
Fractional coordinates of all 4 atoms:
As 0.750 0.750 0.750
Si 0.016 0.016 0.016
Tl 0.250 0.250 0.250
Si 0.484 0.484 0.484



(3)
A relaxed Pa2F13 crystal, computed with PBE-GGA.

Energy above the most stable polymorph in this dataset (meV per atom): 0
Total moment (μB per formula unit): 1.2
N(E_F) (states/eV/f.u.): 16.4
E_form (uncorrected) (eV per atom): -2.95

a b c (Å): 9.736 9.355 8.160
angles (deg): 42.76 35.29 40.16
Fractional coordinates of all 15 atoms:
F 0.500 0.500 0.500
F 0.723 0.772 0.496
F 0.994 0.462 0.216
F 0.208 0.805 0.813
F 0.026 0.967 0.587
Pa 0.607 0.644 0.509
Pa 0.393 0.356 0.491
F 0.006 0.538 0.784
F 0.576 0.921 0.162
F 0.974 0.033 0.413
F 0.277 0.228 0.504
F 0.792 0.195 0.187
F 0.371 0.646 0.143
F 0.424 0.079 0.838
F 0.629 0.354 0.857



(4)
A relaxed LiTbGa4Cu2 crystal, computed with PBE-GGA.

Total moment (μB per formula unit): 0.0
N(E_F) (states/eV/f.u.): 1.9
Energy of formation (eV per atom): -0.335

a b c (Å): 4.211 4.211 8.953
angles (deg): 76.40 76.40 60.00
Fractional coordinates of all 8 atoms:
Li 0.500 0.500 0.500
Ga 0.601 0.601 0.198
Tb 0.000 0.000 0.000
Ga 0.126 0.126 0.623
Ga 0.399 0.399 0.802
Cu 0.232 0.232 0.305
Cu 0.768 0.768 0.695
Ga 0.874 0.874 0.377



(5)
A relaxed AcTlPd crystal, computed with PBE-GGA.

Energy above the most stable polymorph in this dataset (meV per atom): 302
Total moment (μB per formula unit): 0.0
N(E_F) (states/eV/f.u.): 2.7
Energy of formation (eV per atom): -0.332

a b c (Å): 4.088 5.676 6.167
angles (deg): 90.00 90.00 136.12
Fractional coordinates of all 3 atoms:
Tl 0.000 0.000 0.478
Ac 0.500 0.500 0.960
Pd 0.500 0.000 0.151



(6)
A relaxed TbNdEr4 crystal, computed with PBE-GGA.

Energy above the most stable polymorph in this dataset (meV per atom): 265
Total moment (μB per formula unit): 1.5
N(E_F) (states/eV/f.u.): 13.0
Energy of formation (eV per atom): 0.283

a b c (Å): 6.570 6.570 6.570
angles (deg): 60.00 60.00 60.00
Fractional coordinates of all 6 atoms:
Er 0.626 0.626 0.123
Er 0.626 0.626 0.626
Er 0.626 0.123 0.626
Er 0.123 0.626 0.626
Nd 0.250 0.250 0.250
Tb 0.000 0.000 0.000



(7)
A relaxed K2RbTeBr crystal, computed with PBE-GGA.

Total moment (μB per formula unit): 0.0
N(E_F) (states/eV/f.u.): 0.0
E_form (uncorrected) (eV per atom): -1.10

a b c (Å): 6.072 6.325 6.072
angles (deg): 90.00 90.00 90.00
Fractional coordinates of all 5 atoms:
Te 0.500 0.500 0.500
Rb 0.000 0.500 0.000
K 0.000 0.000 0.500
K 0.500 0.000 0.000
Br 0.000 0.000 0.000



(8)
A relaxed Pm7Sm12Er crystal, computed with PBE-GGA.

Energy above the most stable polymorph in this dataset (meV per atom): 392
Total moment (μB per formula unit): 0.0
N(E_F) (states/eV/f.u.): 26.4
Energy of formation (eV per atom): 0.619

a b c (Å): 9.960 9.960 9.960
angles (deg): 109.47 109.47 109.47
Fractional coordinates of all 20 atoms:
Pm 0.000 0.500 0.000
Pm 0.000 0.000 0.500
Er 0.000 0.000 0.000
Sm 0.495 0.247 0.247
Pm 0.000 0.500 0.500
Pm 0.500 0.000 0.000
Sm 0.247 0.495 0.247
Sm 0.000 0.753 0.247
Sm 0.753 0.505 0.753
Sm 0.505 0.753 0.753
Pm 0.500 0.000 0.500
Sm 0.753 0.000 0.247
Sm 0.247 0.753 0.000
Sm 0.000 0.247 0.753
Sm 0.247 0.247 0.495
Sm 0.753 0.753 0.505
Pm 0.500 0.500 0.500
Sm 0.247 0.000 0.753
Sm 0.753 0.247 0.000
Pm 0.500 0.500 0.000



(9)
A relaxed Li3LaAg3 crystal, computed with PBE-GGA.

Energy above the most stable polymorph in this dataset (meV per atom): 0
Total moment (μB per formula unit): 0.0
N(E_F) (states/eV/f.u.): 3.1
Energy of formation (eV per atom): -0.171

a b c (Å): 4.798 8.551 8.602
angles (deg): 119.77 90.00 90.00
Fractional coordinates of all 14 atoms:
Li 0.750 0.247 0.235
Li 0.750 0.768 0.015
La 0.250 0.666 0.332
Li 0.250 0.753 0.765
Ag 0.250 0.550 0.931
La 0.750 0.334 0.668
Ag 0.750 0.618 0.547
Li 0.250 0.232 0.985
Ag 0.750 0.450 0.069
Ag 0.750 0.931 0.382
Ag 0.250 0.382 0.453
Li 0.750 0.986 0.753
Ag 0.250 0.069 0.618
Li 0.250 0.014 0.247



(10)
A relaxed PuInNi4 crystal, computed with PBE-GGA.

Total moment (μB per formula unit): 4.5
N(E_F) (states/eV/f.u.): 17.9
Energy of formation (eV per atom): -0.226

a b c (Å): 5.006 5.006 5.006
angles (deg): 60.00 60.00 60.00
Fractional coordinates of all 6 atoms:
Ni 0.123 0.626 0.626
Ni 0.626 0.123 0.626
Ni 0.626 0.626 0.626
In 0.000 0.000 0.000
Pu 0.250 0.250 0.250
Ni 0.626 0.626 0.123



(11)
A relaxed EuPaAlGa crystal, computed with PBE-GGA.

Total moment (μB per formula unit): 6.1
N(E_F) (states/eV/f.u.): 2.9
Energy of formation (eV per atom): -0.091

a b c (Å): 5.145 5.145 5.145
angles (deg): 60.00 60.00 60.00
Fractional coordinates of all 4 atoms:
Eu 0.500 0.500 0.500
Pa 0.000 0.000 0.000
Al 0.250 0.250 0.250
Ga 0.750 0.750 0.750



(12)
A relaxed Nd7YEr4 crystal, computed with PBE-GGA.

Energy above the most stable polymorph in this dataset (meV per atom): 212
Total moment (μB per formula unit): 0.2
N(E_F) (states/eV/f.u.): 19.2
Energy of formation (eV per atom): 0.217

a b c (Å): 6.008 9.728 8.621
angles (deg): 61.84 69.61 72.01
Fractional coordinates of all 12 atoms:
Nd 0.087 0.547 0.278
Nd 0.500 0.000 0.000
Y 0.000 0.000 0.000
Nd 0.783 0.247 0.188
Nd 0.913 0.453 0.722
Nd 0.217 0.753 0.812
Nd 0.786 0.888 0.539
Er 0.332 0.375 0.962
Nd 0.214 0.112 0.461
Er 0.431 0.700 0.437
Er 0.668 0.625 0.038
Er 0.569 0.300 0.563